Record 1
AlCd2Re: optimized geometry, PBE.

CIF file:
```
data_AlCd2Re
_space_group_name_H-M_alt 'P 1'
_space_group_IT_number 1
_space_group_name_Hall 'P 1'
_cell_length_a 3.645
_cell_length_b 3.645
_cell_length_c 5.497
_cell_angle_alpha 90.00
_cell_angle_beta 90.00
_cell_angle_gamma 90.00
loop_
_atom_site_label
_atom_site_type_symbol
_atom_site_fract_x
_atom_site_fract_y
_atom_site_fract_z
Al1 Al 0.000 0.000 0.000
Cd1 Cd 0.500 0.500 0.255
Cd2 Cd 0.500 0.500 0.745
Re1 Re 0.000 0.000 0.500
```

Properties
As for the formation energy: 609 meV/atom. As for the crystal system: tetragonal. As for the electronic total energy: -3.896 eV/atom. The magnetic moment comes out at 0.00 Bohr magnetons per cell.



Record 2
NbInTcRu: optimized geometry, PBE.

CIF file:
```
data_NbInTcRu
_space_group_name_H-M_alt 'P 1'
_space_group_IT_number 1
_space_group_name_Hall 'P 1'
_cell_length_a 4.540
_cell_length_b 4.540
_cell_length_c 4.540
_cell_angle_alpha 60.00
_cell_angle_beta 60.00
_cell_angle_gamma 60.00
loop_
_atom_site_label
_atom_site_type_symbol
_atom_site_fract_x
_atom_site_fract_y
_atom_site_fract_z
Nb1 Nb 0.000 0.000 0.000
In1 In 0.500 0.500 0.500
Tc1 Tc 0.750 0.750 0.750
Ru1 Ru 0.250 0.250 0.250
```

Properties
As for the formation energy: -103 meV/atom. As for the crystal system: cubic. As for the electronic total energy: -8.216 eV/atom. The magnetic moment comes out at 0.00 Bohr magnetons per cell.



Record 3
TlCd2Cu: optimized geometry, PBE.

CIF file:
```
data_TlCd2Cu
_space_group_name_H-M_alt 'P 1'
_space_group_IT_number 1
_space_group_name_Hall 'P 1'
_cell_length_a 5.021
_cell_length_b 3.281
_cell_length_c 5.565
_cell_angle_alpha 90.00
_cell_angle_beta 109.44
_cell_angle_gamma 90.00
loop_
_atom_site_label
_atom_site_type_symbol
_atom_site_fract_x
_atom_site_fract_y
_atom_site_fract_z
Tl1 Tl 0.000 0.000 0.000
Cd1 Cd 0.000 0.500 0.500
Cd2 Cd 0.500 0.000 0.500
Cu1 Cu 0.500 0.500 0.000
```

Properties
As for the formation energy: 207 meV/atom. As for the crystal system: monoclinic. As for the electronic total energy: -1.867 eV/atom. Its polymorph energy (0 for the lowest one) is 0.48 eV per formula unit. The magnetic moment comes out at 0.00 Bohr magnetons per cell.



Record 4
U2CrS6: optimized geometry, PBE.

CIF file:
```
data_U2CrS6
_space_group_name_H-M_alt 'P 1'
_space_group_IT_number 1
_space_group_name_Hall 'P 1'
_cell_length_a 5.968
_cell_length_b 6.964
_cell_length_c 10.365
_cell_angle_alpha 90.00
_cell_angle_beta 124.20
_cell_angle_gamma 90.00
loop_
_atom_site_label
_atom_site_type_symbol
_atom_site_fract_x
_atom_site_fract_y
_atom_site_fract_z
U1 U 0.194 0.122 0.248
U2 U 0.194 0.378 0.748
U3 U 0.806 0.622 0.252
U4 U 0.806 0.878 0.752
Cr1 Cr 0.500 0.000 0.000
Cr2 Cr 0.500 0.500 0.500
S1 S 0.112 0.173 0.945
S2 S 0.112 0.327 0.445
S3 S 0.289 0.691 0.940
S4 S 0.289 0.809 0.440
S5 S 0.384 0.039 0.744
S6 S 0.384 0.461 0.244
S7 S 0.616 0.539 0.756
S8 S 0.616 0.961 0.256
S9 S 0.711 0.191 0.560
S10 S 0.711 0.309 0.060
S11 S 0.888 0.673 0.555
S12 S 0.888 0.827 0.055
```

Properties
As for the crystal system: monoclinic. As for the electronic total energy: -7.477 eV/atom. Its polymorph energy (0 for the lowest one) is 0.00 eV per formula unit. For the formation energy from raw total energies, the calculation gives -1.148 eV/atom. The magnetic moment comes out at 12.05 Bohr magnetons per cell.



Record 5
ZrZn2Hg: optimized geometry, PBE.

CIF file:
```
data_ZrZn2Hg
_space_group_name_H-M_alt 'P 1'
_space_group_IT_number 1
_space_group_name_Hall 'P 1'
_cell_length_a 4.348
_cell_length_b 4.348
_cell_length_c 3.926
_cell_angle_alpha 90.00
_cell_angle_beta 90.00
_cell_angle_gamma 90.00
loop_
_atom_site_label
_atom_site_type_symbol
_atom_site_fract_x
_atom_site_fract_y
_atom_site_fract_z
Zr1 Zr 0.000 0.000 0.000
Zn1 Zn 0.000 0.500 0.500
Zn2 Zn 0.500 0.000 0.500
Hg1 Hg 0.500 0.500 0.000
```

Properties
As for the formation energy: -175 meV/atom. As for the crystal system: tetragonal. As for the electronic total energy: -3.025 eV/atom. The magnetic moment comes out at 0.00 Bohr magnetons per cell.



Record 6
HoTcB4: optimized geometry, PBE.

CIF file:
```
data_HoTcB4
_space_group_name_H-M_alt 'P 1'
_space_group_IT_number 1
_space_group_name_Hall 'P 1'
_cell_length_a 5.957
_cell_length_b 11.527
_cell_length_c 3.595
_cell_angle_alpha 90.00
_cell_angle_beta 90.00
_cell_angle_gamma 90.00
loop_
_atom_site_label
_atom_site_type_symbol
_atom_site_fract_x
_atom_site_fract_y
_atom_site_fract_z
Ho1 Ho 0.127 0.150 0.000
Ho2 Ho 0.373 0.650 0.000
Ho3 Ho 0.627 0.350 0.000
Ho4 Ho 0.873 0.850 0.000
Tc1 Tc 0.133 0.412 0.000
Tc2 Tc 0.367 0.912 0.000
Tc3 Tc 0.633 0.088 0.000
Tc4 Tc 0.867 0.588 0.000
B1 B 0.023 0.693 0.500
B2 B 0.113 0.547 0.500
B3 B 0.136 0.969 0.500
B4 B 0.212 0.815 0.500
B5 B 0.288 0.315 0.500
B6 B 0.364 0.469 0.500
B7 B 0.387 0.047 0.500
B8 B 0.477 0.193 0.500
B9 B 0.523 0.807 0.500
B10 B 0.613 0.953 0.500
B11 B 0.636 0.531 0.500
B12 B 0.712 0.685 0.500
B13 B 0.788 0.185 0.500
B14 B 0.864 0.031 0.500
B15 B 0.887 0.453 0.500
B16 B 0.977 0.307 0.500
```

Properties
As for the formation energy: -641 meV/atom. As for the crystal system: orthorhombic. As for the electronic total energy: -7.584 eV/atom. Its polymorph energy (0 for the lowest one) is 0.00 eV per formula unit. The magnetic moment comes out at 0.00 Bohr magnetons per cell.